Below is crystalline SmCr2IrO8 at its relaxed geometry, with properties calculated at the PBE+U level.

M_tot (μB/cell): 3.8
DOS(E_F) (states/eV per cell): 5.1
Uncorrected energy (Ry/atom): -0.53779

Cell and atoms, written as CIF:
```
data_SmCr2IrO8
_chemical_formula_sum 'Sm1 Cr2 Ir1 O8'
_symmetry_space_group_name_H-M 'P 1'
_symmetry_Int_Tables_number 1
_cell_length_a 4.7290
_cell_length_b 6.3976
_cell_length_c 4.7355
_cell_angle_alpha 90.00
_cell_angle_beta 91.32
_cell_angle_gamma 90.00
loop_
_symmetry_equiv_pos_as_xyz
'x,y,z'
loop_
_atom_site_label
_atom_site_fract_x
_atom_site_fract_y
_atom_site_fract_z
Sm1 0.0000 0.0000 0.0000
Cr1 0.5000 0.2491 0.5000
Cr2 0.5000 0.7509 0.5000
Ir1 0.0000 0.5000 0.0000
O1 0.2091 0.2869 0.2076
O2 0.2091 0.7131 0.2076
O3 0.2909 0.5000 0.7076
O4 0.3278 0.0000 0.6703
O5 0.6722 0.0000 0.3297
O6 0.7091 0.5000 0.2924
O7 0.7909 0.2869 0.7924
O8 0.7909 0.7131 0.7924
```